1.
SrTl4Pb3 | PBE | optimized geometry Values from VASP.

Quantum ESPRESSO input file:
```
&SYSTEM
  ibrav = 0, nat = 16, ntyp = 3
/
ATOMIC_SPECIES
Sr 87.62 Sr.upf
Tl 204.38 Tl.upf
Pb 207.20 Pb.upf
ATOMIC_POSITIONS crystal
Sr 0.000 0.000 0.000
Sr 0.500 0.000 0.500
Tl 0.000 0.001 0.500
Tl 0.000 0.499 0.500
Tl 0.250 0.253 0.751
Tl 0.250 0.747 0.251
Tl 0.500 0.501 0.000
Tl 0.500 0.999 0.000
Tl 0.750 0.253 0.751
Tl 0.750 0.747 0.251
Pb 0.000 0.501 0.000
Pb 0.250 0.257 0.249
Pb 0.250 0.743 0.749
Pb 0.500 0.499 0.500
Pb 0.750 0.257 0.249
Pb 0.750 0.743 0.749
CELL_PARAMETERS angstrom
7.195 0.000 0.000
0.000 9.776 0.000
0.000 0.000 7.158
```

- Formation energy from the elements: -125.7 meV per atom
- Space-group type: Pmn2_1 (31)
- DFT total energy: -46.556 eV/cell
- Spin magnetization: 0.00 μB per formula unit


2.
Sr2Tl3Pb3 | PBE | optimized geometry Values from VASP.

Quantum ESPRESSO input file:
```
&SYSTEM
  ibrav = 0, nat = 8, ntyp = 3
/
ATOMIC_SPECIES
Sr 87.62 Sr.upf
Tl 204.38 Tl.upf
Pb 207.20 Pb.upf
ATOMIC_POSITIONS crystal
Sr 0.000 0.000 0.249
Sr 0.000 0.000 0.751
Tl 0.000 0.500 0.000
Tl 0.500 0.500 0.250
Tl 0.500 0.500 0.750
Pb 0.000 0.500 0.500
Pb 0.500 0.000 0.000
Pb 0.500 0.000 0.500
CELL_PARAMETERS angstrom
5.009 0.000 0.000
0.000 5.060 0.000
0.000 0.000 9.968
```

- Formation energy from the elements: -310.3 meV per atom
- Space-group type: Pmmm (47)
- DFT total energy: -24.070 eV/cell
- Spin magnetization: 0.00 μB per formula unit


3.
SrTl6Pb2 | PBE | optimized geometry Values from VASP.

Quantum ESPRESSO input file:
```
&SYSTEM
  ibrav = 0, nat = 18, ntyp = 3
/
ATOMIC_SPECIES
Sr 87.62 Sr.upf
Tl 204.38 Tl.upf
Pb 207.20 Pb.upf
ATOMIC_POSITIONS crystal
Sr 0.000 0.000 0.000
Sr 0.500 0.500 0.500
Tl 0.007 0.339 0.000
Tl 0.161 0.507 0.500
Tl 0.165 0.835 0.500
Tl 0.335 0.335 0.000
Tl 0.339 0.007 0.000
Tl 0.493 0.839 0.500
Tl 0.507 0.161 0.500
Tl 0.661 0.993 0.000
Tl 0.665 0.665 0.000
Tl 0.835 0.165 0.500
Tl 0.839 0.493 0.500
Tl 0.993 0.661 0.000
Pb 0.185 0.185 0.500
Pb 0.315 0.685 0.000
Pb 0.685 0.315 0.000
Pb 0.815 0.815 0.500
CELL_PARAMETERS angstrom
10.449 0.000 0.000
0.000 10.449 0.000
0.000 0.000 5.190
```

- Formation energy from the elements: -111.1 meV per atom
- Space-group type: P4_2/mnm (136)
- DFT total energy: -48.592 eV/cell
- Energy above the lowest structure with this stoichiometry: 0.000 eV per formula unit
- Spin magnetization: 0.00 μB per formula unit


4.
SrTlPb | PBE | optimized geometry Values from VASP.

Quantum ESPRESSO input file:
```
&SYSTEM
  ibrav = 0, nat = 6, ntyp = 3
/
ATOMIC_SPECIES
Sr 87.62 Sr.upf
Tl 204.38 Tl.upf
Pb 207.20 Pb.upf
ATOMIC_POSITIONS crystal
Sr 0.000 0.000 0.000
Sr 0.500 0.500 0.500
Tl 0.000 0.000 0.679
Tl 0.500 0.500 0.179
Pb 0.000 0.000 0.315
Pb 0.500 0.500 0.815
CELL_PARAMETERS angstrom
3.898 0.000 0.000
0.000 4.486 0.000
0.000 0.000 11.536
```

- Formation energy from the elements: -293.5 meV per atom
- Space-group type: Imm2 (44)
- DFT total energy: -17.274 eV/cell
- Energy above the lowest structure with this stoichiometry: 0.169 eV per formula unit
- Spin magnetization: 0.00 μB per formula unit


5.
Sr6Tl12Pb | PBE | optimized geometry Values from VASP.

Quantum ESPRESSO input file:
```
&SYSTEM
  ibrav = 0, nat = 19, ntyp = 3
/
ATOMIC_SPECIES
Sr 87.62 Sr.upf
Tl 204.38 Tl.upf
Pb 207.20 Pb.upf
ATOMIC_POSITIONS crystal
Sr 0.212 0.675 0.242
Sr 0.242 0.212 0.675
Sr 0.325 0.758 0.788
Sr 0.675 0.242 0.212
Sr 0.758 0.788 0.325
Sr 0.788 0.325 0.758
Tl 0.042 0.086 0.349
Tl 0.075 0.574 0.621
Tl 0.086 0.349 0.042
Tl 0.349 0.042 0.086
Tl 0.379 0.925 0.426
Tl 0.426 0.379 0.925
Tl 0.574 0.621 0.075
Tl 0.621 0.075 0.574
Tl 0.651 0.958 0.914
Tl 0.914 0.651 0.958
Tl 0.925 0.426 0.379
Tl 0.958 0.914 0.651
Pb 0.000 0.000 0.000
CELL_PARAMETERS angstrom
6.006 3.468 5.587
-6.006 3.468 5.587
0.000 -6.935 5.587
```

- Formation energy from the elements: -183.3 meV per atom
- Space-group type: R-3 (148)
- DFT total energy: -45.678 eV/cell
- Spin magnetization: 0.00 μB per formula unit


6.
Sr3Tl2Pb2 | PBE | optimized geometry Values from VASP.

Quantum ESPRESSO input file:
```
&SYSTEM
  ibrav = 0, nat = 14, ntyp = 3
/
ATOMIC_SPECIES
Sr 87.62 Sr.upf
Tl 204.38 Tl.upf
Pb 207.20 Pb.upf
ATOMIC_POSITIONS crystal
Sr 0.000 0.000 0.000
Sr 0.162 0.000 0.600
Sr 0.338 0.500 0.400
Sr 0.500 0.500 0.000
Sr 0.662 0.500 0.600
Sr 0.838 0.000 0.400
Tl 0.211 0.500 0.893
Tl 0.289 0.000 0.107
Tl 0.711 0.000 0.893
Tl 0.789 0.500 0.107
Pb 0.043 0.500 0.317
Pb 0.457 0.000 0.683
Pb 0.543 0.000 0.317
Pb 0.957 0.500 0.683
CELL_PARAMETERS angstrom
12.331 0.000 0.000
0.000 5.342 0.000
-2.152 0.000 7.447
```

- Formation energy from the elements: -418.1 meV per atom
- Space-group type: C2/m (12)
- DFT total energy: -40.243 eV/cell
- Spin magnetization: 0.00 μB per formula unit